DFT (SCAN) results for a crystal of KReCl relaxed with PBEsol.

E: -28.37 eV/atom
Spin magnetization: 0.00 μB per formula unit
E_form (uncorrected): 220 kJ/mol of formula units

Unit cell a=2.961 b=2.961 c=7.285 alpha=90.00 beta=90.00 gamma=120.00
Atoms (fractional coordinates):
Cl  0.000  0.000  0.031
K  0.667  0.333  0.679
Re  0.333  0.667  0.290